1.
# Li3Co

A relaxed Li3Co crystal (PBE-GGA, the Alexandria database).

Unit cell a=8.7394 b=8.7394 c=2.4555 alpha=90.00 beta=90.00 gamma=120.00
Last column: nearest neighbours and their distance in Å.
Space group R-3m (No. 166, hexagonal axes)
Unique sites:
Li: 0.0000 0.5000 0.0000  6 Li 2.46-2.65, 2 Co 2.65
Co: 0.0000 0.0000 0.0000  2 Co 2.46, 6 Li 2.65

energy of formation: 0.21 eV per atom

2.
# Cd2GeHPt

A relaxed Cd2GeHPt crystal (PBE-GGA, the Alexandria database).

Unit cell a=5.3570 b=5.3570 c=3.3335 alpha=90.00 beta=90.00 gamma=90.00
Last column: nearest neighbours and their distance in Å.
Space group P4/mmm (No. 123)
Unique sites:
Cd: 0.0000 0.5000 0.0000  2 Pt 2.68
Ge: 0.0000 0.0000 0.5000  8 Cd 3.15, 2 Ge 3.33
H: 0.5000 0.5000 0.5000  2 Pt 1.67
Pt: 0.5000 0.5000 0.0000  2 H 1.67

E: -15.052 eV for the cell shown

3.
# Sr2PdPbN

A relaxed Sr2PdPbN crystal (PBE-GGA, the Alexandria database).

Unit cell a=5.6473 b=5.6473 c=3.9248 alpha=90.00 beta=90.00 gamma=90.00
Last column: nearest neighbours and their distance in Å.
Space group P4/mmm (No. 123)
Unique sites:
Sr: 0.0000 0.5000 0.0000  2 N 2.82
Pd: 0.0000 0.0000 0.5000  2 N 1.96
Pb: 0.5000 0.5000 0.5000  8 Sr 3.44
N: 0.0000 0.0000 0.0000  2 Pd 1.96

energy relative to the elements, uncorrected: -0.4027 eV/atom